1.
Density functional theory data (GGA-PBEsol) for an optimized crystal structure of Li2As2Rh.

Results
E (eV per atom): -5.085
D(E_F) (states/eV/f.u.): 1.0
Crystal system: tetragonal
Calculated density (Mg/m³): 5.6

Cell and atoms, written as CIF:
```
data_Li2As2Rh
_space_group_name_H-M_alt 'P 4/m b m'
_space_group_IT_number 127
_space_group_name_Hall '-P 4 2ab'
_cell_length_a 6.178
_cell_length_b 6.178
_cell_length_c 4.166
_cell_angle_alpha 90.00
_cell_angle_beta 90.00
_cell_angle_gamma 90.00
loop_
_atom_site_label
_atom_site_type_symbol
_atom_site_fract_x
_atom_site_fract_y
_atom_site_fract_z
_atom_site_occupancy
Li1 Li 0.174 0.326 0.000 1
As1 As 0.139 0.639 0.500 1
Rh1 Rh 0.000 0.000 0.500 1
```



2.
Density functional theory data (GGA-PBEsol) for an optimized crystal structure of Ni2RhW.

Results
D(E_F) (states/eV/f.u.): 6.1
Crystal system: monoclinic
Relative energy among the computed polymorphs (eV/atom): 0.190
Calculated density (Mg/m³): 13.3

Cell and atoms, written as CIF:
```
data_Ni2RhW
_space_group_name_H-M_alt 'C 1 2/m 1'
_space_group_IT_number 12
_space_group_name_Hall '-C 2y'
_cell_length_a 8.544
_cell_length_b 2.650
_cell_length_c 4.541
_cell_angle_alpha 90.00
_cell_angle_beta 100.53
_cell_angle_gamma 90.00
loop_
_atom_site_label
_atom_site_type_symbol
_atom_site_fract_x
_atom_site_fract_y
_atom_site_fract_z
_atom_site_occupancy
Ni1 Ni 0.249 0.000 0.256 1
Rh1 Rh 0.000 0.500 0.000 1
W1 W 0.000 0.000 0.500 1
```



3.
Density functional theory data (GGA-PBEsol) for an optimized crystal structure of Re2WSe.

Results
D(E_F) (states/eV/f.u.): 3.6
Crystal system: orthorhombic
Formation energy from raw total energies (kJ per mole of atoms): 55.0
Calculated density (Mg/m³): 16.8

Cell and atoms, written as CIF:
```
data_Re2WSe
_space_group_name_H-M_alt 'C m m m'
_space_group_IT_number 65
_space_group_name_Hall '-C 2 2'
_cell_length_a 3.053
_cell_length_b 4.579
_cell_length_c 8.992
_cell_angle_alpha 90.00
_cell_angle_beta 90.00
_cell_angle_gamma 90.00
loop_
_atom_site_label
_atom_site_type_symbol
_atom_site_fract_x
_atom_site_fract_y
_atom_site_fract_z
_atom_site_occupancy
Re1 Re 0.000 0.000 0.238 1
W1 W 0.000 0.500 0.000 1
Se1 Se 0.000 0.500 0.500 1
```



4.
Density functional theory data (GGA-PBEsol) for an optimized crystal structure of LiTl2W.

Results
E (eV per atom): -4.655
D(E_F) (states/eV/f.u.): 1.6
Crystal system: orthorhombic
Calculated density (Mg/m³): 12.4

Cell and atoms, written as CIF:
```
data_LiTl2W
_space_group_name_H-M_alt 'P m m 2'
_space_group_IT_number 25
_space_group_name_Hall 'P 2 -2'
_cell_length_a 2.973
_cell_length_b 4.784
_cell_length_c 5.640
_cell_angle_alpha 90.00
_cell_angle_beta 90.00
_cell_angle_gamma 90.00
loop_
_atom_site_label
_atom_site_type_symbol
_atom_site_fract_x
_atom_site_fract_y
_atom_site_fract_z
_atom_site_occupancy
Li1 Li 0.000 0.000 0.000 1
Tl1 Tl 0.000 0.000 0.551 1
Tl2 Tl 0.500 0.500 0.135 1
W1 W 0.500 0.500 0.644 1
```



5.
Density functional theory data (GGA-PBEsol) for an optimized crystal structure of ScAlAu.

Results
E (eV per atom): -5.678
D(E_F) (states/eV/f.u.): 1.4
Crystal system: hexagonal
Calculated density (Mg/m³): 8.3

Cell and atoms, written as CIF:
```
data_ScAlAu
_space_group_name_H-M_alt 'P -6 2 c'
_space_group_IT_number 190
_space_group_name_Hall 'P -6c -2c'
_cell_length_a 7.2101
_cell_length_b 7.2101
_cell_length_c 7.1974
_cell_angle_alpha 90.00
_cell_angle_beta 90.00
_cell_angle_gamma 120.00
loop_
_atom_site_label
_atom_site_type_symbol
_atom_site_fract_x
_atom_site_fract_y
_atom_site_fract_z
_atom_site_occupancy
Sc1 Sc 0.0166 0.6061 0.2500 1
Al1 Al 0.0000 0.2632 0.0000 1
Au1 Au 0.0000 0.0000 0.2500 1
Au2 Au 0.3333 0.6667 0.5235 1
```



6.
Density functional theory data (GGA-PBEsol) for an optimized crystal structure of NiIr2Rh.

Results
E (eV per atom): -8.456
D(E_F) (states/eV/f.u.): 6.0
Crystal system: tetragonal
Calculated density (Mg/m³): 17.3

Cell and atoms, written as CIF:
```
data_NiIr2Rh
_space_group_name_H-M_alt 'I 4/m m m'
_space_group_IT_number 139
_space_group_name_Hall '-I 4 2'
_cell_length_a 3.739
_cell_length_b 3.739
_cell_length_c 7.502
_cell_angle_alpha 90.00
_cell_angle_beta 90.00
_cell_angle_gamma 90.00
loop_
_atom_site_label
_atom_site_type_symbol
_atom_site_fract_x
_atom_site_fract_y
_atom_site_fract_z
_atom_site_occupancy
Ni1 Ni 0.000 0.000 0.000 1
Ir1 Ir 0.000 0.500 0.250 1
Rh1 Rh 0.000 0.000 0.500 1
```



7.
Density functional theory data (GGA-PBEsol) for an optimized crystal structure of TiGeTe2I.

Results
D(E_F) (states/eV/f.u.): 6.0
Crystal system: tetragonal
Relative energy among the computed polymorphs (eV/atom): 0.415
Formation energy from raw total energies (kJ per mole of atoms): 55.5
Calculated density (Mg/m³): 5.5

Cell and atoms, written as CIF:
```
data_TiGeTe2I
_space_group_name_H-M_alt 'P 4/m m m'
_space_group_IT_number 123
_space_group_name_Hall '-P 4 2'
_cell_length_a 5.338
_cell_length_b 5.338
_cell_length_c 5.362
_cell_angle_alpha 90.00
_cell_angle_beta 90.00
_cell_angle_gamma 90.00
loop_
_atom_site_label
_atom_site_type_symbol
_atom_site_fract_x
_atom_site_fract_y
_atom_site_fract_z
_atom_site_occupancy
Ti1 Ti 0.000 0.000 0.000 1
Ge1 Ge 0.500 0.500 0.500 1
Te1 Te 0.000 0.500 0.500 1
I1 I 0.500 0.500 0.000 1
```



8.
Density functional theory data (GGA-PBEsol) for an optimized crystal structure of Zr8As5.

Results
D(E_F) (states/eV/f.u.): 9.6
Crystal system: monoclinic
Relative energy among the computed polymorphs (eV/atom): 0.000
Calculated density (Mg/m³): 6.9

Cell and atoms, written as CIF:
```
data_Zr8As5
_space_group_name_H-M_alt 'P 1 2/m 1'
_space_group_IT_number 10
_space_group_name_Hall '-P 2y'
_cell_length_a 10.086
_cell_length_b 3.686
_cell_length_c 28.406
_cell_angle_alpha 90.00
_cell_angle_beta 91.33
_cell_angle_gamma 90.00
loop_
_atom_site_label
_atom_site_type_symbol
_atom_site_fract_x
_atom_site_fract_y
_atom_site_fract_z
_atom_site_occupancy
Zr1 Zr 0.000 0.000 0.000 1
Zr2 Zr 0.000 0.000 0.442 1
Zr3 Zr 0.013 0.500 0.736 1
Zr4 Zr 0.030 0.500 0.918 1
Zr5 Zr 0.069 0.000 0.172 1
Zr6 Zr 0.167 0.500 0.628 1
Zr7 Zr 0.175 0.500 0.378 1
Zr8 Zr 0.213 0.500 0.504 1
Zr9 Zr 0.243 0.000 0.284 1
Zr10 Zr 0.248 0.500 0.015 1
Zr11 Zr 0.265 0.000 0.784 1
Zr12 Zr 0.324 0.500 0.128 1
Zr13 Zr 0.345 0.500 0.885 1
Zr14 Zr 0.413 0.000 0.670 1
Zr15 Zr 0.486 0.500 0.235 1
Zr16 Zr 0.494 0.500 0.419 1
Zr17 Zr 0.500 0.000 0.500 1
As1 As 0.013 0.000 0.337 1
As2 As 0.125 0.500 0.830 1
As3 As 0.169 0.000 0.082 1
As4 As 0.225 0.500 0.214 1
As5 As 0.232 0.000 0.944 1
As6 As 0.271 0.500 0.715 1
As7 As 0.287 0.000 0.438 1
As8 As 0.299 0.000 0.574 1
As9 As 0.395 0.500 0.328 1
As10 As 0.493 0.000 0.838 1
```



9.
Density functional theory data (GGA-PBEsol) for an optimized crystal structure of MgAlAg2.

Results
D(E_F) (states/eV/f.u.): 1.0
Crystal system: monoclinic
Relative energy among the computed polymorphs (eV/atom): 0.048
Calculated density (Mg/m³): 6.6

Cell and atoms, written as CIF:
```
data_MgAlAg2
_space_group_name_H-M_alt 'C 1 m 1'
_space_group_IT_number 8
_space_group_name_Hall 'C -2y'
_cell_length_a 9.737
_cell_length_b 3.239
_cell_length_c 4.552
_cell_angle_alpha 90.00
_cell_angle_beta 110.35
_cell_angle_gamma 90.00
loop_
_atom_site_label
_atom_site_type_symbol
_atom_site_fract_x
_atom_site_fract_y
_atom_site_fract_z
_atom_site_occupancy
Mg1 Mg 0.000 0.000 0.000 1
Al1 Al 0.236 0.000 0.664 1
Ag1 Ag 0.000 0.500 0.508 1
Ag2 Ag 0.251 0.500 0.177 1
```



10.
Density functional theory data (GGA-PBEsol) for an optimized crystal structure of KZrFe2Bi.

Results
E (eV per atom): -5.460
D(E_F) (states/eV/f.u.): 5.9
Crystal system: tetragonal
Calculated density (Mg/m³): 5.5

Cell and atoms, written as CIF:
```
data_KZrFe2Bi
_space_group_name_H-M_alt 'P 4/m m m'
_space_group_IT_number 123
_space_group_name_Hall '-P 4 2'
_cell_length_a 4.904
_cell_length_b 4.904
_cell_length_c 5.630
_cell_angle_alpha 90.00
_cell_angle_beta 90.00
_cell_angle_gamma 90.00
loop_
_atom_site_label
_atom_site_type_symbol
_atom_site_fract_x
_atom_site_fract_y
_atom_site_fract_z
_atom_site_occupancy
K1 K 0.000 0.000 0.000 1
Zr1 Zr 0.500 0.500 0.500 1
Fe1 Fe 0.000 0.500 0.500 1
Bi1 Bi 0.500 0.500 0.000 1
```



11.
Density functional theory data (GGA-PBEsol) for an optimized crystal structure of Mn2AlHg.

Results
E (eV per atom): -5.902
D(E_F) (states/eV/f.u.): 2.6
Crystal system: orthorhombic
Calculated density (Mg/m³): 9.6

Cell and atoms, written as CIF:
```
data_Mn2AlHg
_space_group_name_H-M_alt 'P m m m'
_space_group_IT_number 47
_space_group_name_Hall '-P 2 2'
_cell_length_a 2.826
_cell_length_b 3.655
_cell_length_c 5.653
_cell_angle_alpha 90.00
_cell_angle_beta 90.00
_cell_angle_gamma 90.00
loop_
_atom_site_label
_atom_site_type_symbol
_atom_site_fract_x
_atom_site_fract_y
_atom_site_fract_z
_atom_site_occupancy
Mn1 Mn 0.000 0.000 0.226 1
Al1 Al 0.500 0.500 0.000 1
Hg1 Hg 0.500 0.500 0.500 1
```



12.
Density functional theory data (GGA-PBEsol) for an optimized crystal structure of CrReHg2P.

Results
E (eV per atom): -4.489
D(E_F) (states/eV/f.u.): 4.4
Crystal system: tetragonal
Calculated density (Mg/m³): 10.3

Cell and atoms, written as CIF:
```
data_CrReHg2P
_space_group_name_H-M_alt 'P 4/m m m'
_space_group_IT_number 123
_space_group_name_Hall '-P 4 2'
_cell_length_a 4.972
_cell_length_b 4.972
_cell_length_c 4.374
_cell_angle_alpha 90.00
_cell_angle_beta 90.00
_cell_angle_gamma 90.00
loop_
_atom_site_label
_atom_site_type_symbol
_atom_site_fract_x
_atom_site_fract_y
_atom_site_fract_z
_atom_site_occupancy
Cr1 Cr 0.000 0.000 0.000 1
Re1 Re 0.000 0.000 0.500 1
Hg1 Hg 0.000 0.500 0.000 1
P1 P 0.500 0.500 0.500 1
```



What is the formula in the fourth record? LiTl2W